1.
# MnMo2Pb2 | Alexandria via LeMat-Bulk | PBE-GGA | relaxed
# Crystal system: tetragonal
# Spin magnetization: 4.588 μB per cell
# Energy of formation from the pure elements: 0.749 eV per atom
# Total DFT energy (no corrections): -34.5 eV/cell
# DOS(E_F): 2.9 states/eV/f.u.
data_MnMo2Pb2
_chemical_formula_sum 'Mn1 Mo2 Pb2'
_cell_length_a 3.593
_cell_length_b 3.593
_cell_length_c 9.090
_cell_angle_alpha 78.60
_cell_angle_beta 78.60
_cell_angle_gamma 90.00
_space_group_name_H-M_alt 'P 1'
_space_group_IT_number 1
_space_group_name_Hall 'P 1'
loop_
_atom_site_label
_atom_site_type_symbol
_atom_site_fract_x
_atom_site_fract_y
_atom_site_fract_z
Mo1 Mo 0.750 0.250 0.500
Mo2 Mo 0.250 0.750 0.500
Pb1 Pb 0.607 0.607 0.786
Mn1 Mn 0.000 0.000 0.000
Pb2 Pb 0.393 0.393 0.214

---

2.
# Mn2MoPb | Alexandria via LeMat-Bulk | PBE-GGA | relaxed
# Crystal system: tetragonal
# Spin magnetization: 6.156 μB per cell
# Energy of formation from the pure elements: 0.503 eV per atom
# Total DFT energy (no corrections): -30.9 eV/cell
# DOS(E_F): 3.3 states/eV/f.u.
data_Mn2MoPb
_chemical_formula_sum 'Mn2 Mo1 Pb1'
_cell_length_a 4.221
_cell_length_b 4.221
_cell_length_c 3.765
_cell_angle_alpha 90.00
_cell_angle_beta 90.00
_cell_angle_gamma 89.96
_space_group_name_H-M_alt 'P 1'
_space_group_IT_number 1
_space_group_name_Hall 'P 1'
loop_
_atom_site_label
_atom_site_type_symbol
_atom_site_fract_x
_atom_site_fract_y
_atom_site_fract_z
Mn1 Mn 0.000 0.000 0.000
Mn2 Mn 0.500 0.500 0.000
Mo1 Mo 0.500 0.000 0.500
Pb1 Pb 0.000 0.500 0.500

---

3.
# MnMo2Pb | Alexandria via LeMat-Bulk | PBE-GGA | relaxed
# Crystal system: trigonal
# Spin magnetization: 3.526 μB per cell
# Energy of formation from the pure elements: 0.540 eV per atom
# Total DFT energy (no corrections): -32.4 eV/cell
# DOS(E_F): 2.8 states/eV/f.u.
data_MnMo2Pb
_chemical_formula_sum 'Mn1 Mo2 Pb1'
_cell_length_a 9.127
_cell_length_b 9.127
_cell_length_c 9.127
_cell_angle_alpha 19.63
_cell_angle_beta 19.63
_cell_angle_gamma 19.63
_space_group_name_H-M_alt 'P 1'
_space_group_IT_number 1
_space_group_name_Hall 'P 1'
loop_
_atom_site_label
_atom_site_type_symbol
_atom_site_fract_x
_atom_site_fract_y
_atom_site_fract_z
Pb1 Pb 0.501 0.501 0.501
Mo1 Mo 0.262 0.262 0.262
Mo2 Mo 0.998 0.998 0.998
Mn1 Mn 0.739 0.739 0.739

---

4.
# MnMo2Pb | Alexandria via LeMat-Bulk | PBE-GGA | relaxed
# Crystal system: cubic
# Spin magnetization: 3.577 μB per cell
# Energy of formation from the pure elements: 0.602 eV per atom
# Total DFT energy (no corrections): -32.1 eV/cell
# DOS(E_F): 4.4 states/eV/f.u.
data_MnMo2Pb
_chemical_formula_sum 'Mn1 Mo2 Pb1'
_cell_length_a 4.599
_cell_length_b 4.599
_cell_length_c 4.599
_cell_angle_alpha 60.00
_cell_angle_beta 60.00
_cell_angle_gamma 60.00
_space_group_name_H-M_alt 'P 1'
_space_group_IT_number 1
_space_group_name_Hall 'P 1'
loop_
_atom_site_label
_atom_site_type_symbol
_atom_site_fract_x
_atom_site_fract_y
_atom_site_fract_z
Mn1 Mn 0.500 0.500 0.500
Mo1 Mo 0.000 0.000 0.000
Pb1 Pb 0.250 0.250 0.250
Mo2 Mo 0.750 0.750 0.750

---

5.
# Mn2MoPb | Alexandria via LeMat-Bulk | PBE-GGA | relaxed
# Crystal system: monoclinic
# Spin magnetization: 4.562 μB per cell
# Energy of formation from the pure elements: 0.513 eV per atom
# Total DFT energy (no corrections): -30.8 eV/cell
# DOS(E_F): 3.7 states/eV/f.u.
data_Mn2MoPb
_chemical_formula_sum 'Mn2 Mo1 Pb1'
_cell_length_a 3.897
_cell_length_b 2.976
_cell_length_c 6.277
_cell_angle_alpha 67.26
_cell_angle_beta 90.00
_cell_angle_gamma 90.00
_space_group_name_H-M_alt 'P 1'
_space_group_IT_number 1
_space_group_name_Hall 'P 1'
loop_
_atom_site_label
_atom_site_type_symbol
_atom_site_fract_x
_atom_site_fract_y
_atom_site_fract_z
Mo1 Mo 0.000 0.476 0.444
Pb1 Pb 0.500 0.736 0.761
Mn1 Mn 0.500 0.274 0.253
Mn2 Mn 0.000 0.015 0.041

---

6.
# Mn2MoPb | Alexandria via LeMat-Bulk | PBE-GGA | relaxed
# Crystal system: tetragonal
# Spin magnetization: 9.740 μB per cell
# Energy of formation from the pure elements: 0.841 eV per atom
# Total DFT energy (no corrections): -59.0 eV/cell
# DOS(E_F): 5.8 states/eV/f.u.
data_Mn2MoPb
_chemical_formula_sum 'Mn4 Mo2 Pb2'
_cell_length_a 7.222
_cell_length_b 7.222
_cell_length_c 5.820
_cell_angle_alpha 51.66
_cell_angle_beta 51.66
_cell_angle_gamma 90.00
_space_group_name_H-M_alt 'P 1'
_space_group_IT_number 1
_space_group_name_Hall 'P 1'
loop_
_atom_site_label
_atom_site_type_symbol
_atom_site_fract_x
_atom_site_fract_y
_atom_site_fract_z
Pb1 Pb 0.750 0.250 0.500
Mn1 Mn 0.165 0.625 0.250
Mn2 Mn 0.585 0.125 0.250
Pb2 Pb 0.000 0.000 0.000
Mn3 Mn 0.875 0.835 0.750
Mn4 Mn 0.375 0.415 0.750
Mo1 Mo 0.500 0.500 0.000
Mo2 Mo 0.250 0.750 0.500

---

energy of formation from the pure elements of number 3 (MnMo2Pb)?
0.540 eV per atom